1.
The following is a PBE-GGA calculation of a relaxed Cs2ZnAg2Cl6 crystal, from Alexandria.

The space group is R-3m (No. 166, hexagonal axes) and the conventional cell measures 7.7169, 7.7169 and 19.5477 Å, with angles of 90.00, 90.00 and 120.00 degrees. Symmetry generates all atoms from Cs at (0.0000, 0.0000, 0.2319), Zn at (0.0000, 0.0000, 0.0000), Ag at (0.0000, 0.0000, 0.4225) and Cl at (0.0385, 0.5192, 0.7457).

The value obtained for the final energy is -97.586 eV per cell. The uncorrected formation energy comes out at -1.16 eV per atom. The theoretical density is 3.8 g/cm³.

***

2.
The following is a PBE-GGA calculation of a relaxed Cs2ZnAgCl6 crystal, from Alexandria.

The space group is R-3m (No. 166, hexagonal axes) and the conventional cell measures 7.3788, 7.3788 and 37.1057 Å, with angles of 90.00, 90.00 and 120.00 degrees. Symmetry generates all atoms from Cs at (0.0000, 0.0000, 0.1229), Cs at (0.0000, 0.0000, 0.2941), Zn at (0.0000, 0.0000, 0.4109), Ag at (0.0000, 0.0000, 0.0000), Ag at (0.0000, 0.0000, 0.5000), Cl at (0.0105, 0.5052, 0.2908) and Cl at (0.0232, 0.5116, 0.1221).

The value obtained for the final energy is -175.474 eV per cell. The uncorrected formation energy comes out at -1.23 eV per atom. The theoretical density is 3.7 g/cm³.

***

3.
The following is a PBE-GGA calculation of a relaxed CsZn2AgCl8 crystal, from Alexandria.

The space group is R-3 (No. 148, hexagonal axes) and the conventional cell measures 6.3564, 6.3564 and 30.9858 Å, with angles of 90.00, 90.00 and 120.00 degrees. Symmetry generates all atoms from Cs at (0.0000, 0.0000, 0.0000), Zn at (0.0000, 0.0000, 0.2368), Ag at (0.0000, 0.0000, 0.5000), Cl at (0.0000, 0.0000, 0.3090) and Cl at (0.0042, 0.6546, 0.2155).

The value obtained for the final energy is -96.795 eV per cell. The uncorrected formation energy comes out at -0.94 eV per atom. The theoretical density is 3.0 g/cm³.